Record 1
Hg2BiPIr | Alexandria | GGA-PBE | relaxed; DFT formation energy = 1.42 eV/atom; mass density = 7.9 Mg/m³; crystal system = tetragonal
1.0
-2.693 -5.038 -1.411
4.432 -2.456 0.308
-0.988 -1.069 5.701
Bi Hg P Ir
1 2 1 1
Direct
0.000 0.000 0.000
0.500 0.000 0.000
0.000 0.000 0.500
0.500 0.500 0.500
0.000 0.500 0.000


Record 2
Te2Pd2Br | Alexandria | GGA-PBE | relaxed; relative energy among the computed polymorphs = 69 meV per atom; mass density = 7.3 Mg/m³; crystal system = tetragonal
1.0
4.071 0.000 0.000
0.000 4.071 0.000
2.036 2.036 7.553
Br Te Pd
1 2 2
Direct
0.000 0.000 0.000
0.634 0.634 0.731
0.366 0.366 0.269
0.250 0.750 0.500
0.750 0.250 0.500


Record 3
AlCuBi2 | Alexandria | GGA-PBE | relaxed; relative energy among the computed polymorphs = 0 meV per atom; DFT formation energy = 0.30 eV/atom; mass density = 6.9 Mg/m³; crystal system = tetragonal
1.0
-5.574 0.219 -2.979
2.247 -3.846 -4.488
-3.581 -6.702 -0.505
Cu Bi Al
2 4 2
Direct
0.000 0.000 0.000
0.750 0.250 0.500
0.375 0.352 0.750
0.875 0.898 0.750
0.102 0.625 0.250
0.648 0.125 0.250
0.500 0.500 0.000
0.250 0.750 0.500


Record 4
Ti2Os2Ru | Alexandria | GGA-PBE | relaxed; relative energy among the computed polymorphs = 0 meV per atom; DFT formation energy = -0.04 eV/atom; mass density = 12.4 Mg/m³; crystal system = tetragonal
1.0
-0.332 6.743 -2.252
-6.640 -1.100 -2.315
-1.092 0.857 2.726
Os Ru Ti
4 2 4
Direct
0.129 0.371 0.000
0.371 0.871 0.000
0.629 0.129 0.000
0.871 0.629 0.000
0.500 0.500 0.000
0.000 0.000 0.000
0.825 0.325 0.500
0.675 0.825 0.500
0.175 0.675 0.500
0.325 0.175 0.500


Record 5
Pd2Pt8W | Alexandria | GGA-PBE | relaxed; DFT formation energy = 0.03 eV/atom; mass density = 17.7 Mg/m³; crystal system = triclinic
1.0
5.167 0.673 -1.152
-1.103 4.863 -2.547
-1.235 0.208 7.169
Pt Pd W
8 2 1
Direct
0.730 0.382 0.000
0.270 0.618 0.000
0.279 0.779 0.559
0.232 0.312 0.219
0.768 0.688 0.781
0.012 0.093 0.781
0.721 0.221 0.441
0.988 0.907 0.219
0.307 0.307 0.614
0.693 0.693 0.386
0.500 0.000 0.000


Please write out number 1 again, unchanged.
Hg2BiPIr | Alexandria | GGA-PBE | relaxed; DFT formation energy = 1.42 eV/atom; mass density = 7.9 Mg/m³; crystal system = tetragonal
1.0
-2.693 -5.038 -1.411
4.432 -2.456 0.308
-0.988 -1.069 5.701
Bi Hg P Ir
1 2 1 1
Direct
0.000 0.000 0.000
0.500 0.000 0.000
0.000 0.000 0.500
0.500 0.500 0.500
0.000 0.500 0.000